Record 1
A plane-wave DFT calculation with GGA-PBE was carried out for an optimized crystal structure of Rb3Sr2UO6.

The structure belongs to space group C2/m (No. 12); the cell edges are 6.384, 11.046 and 6.892 Å and the angles 90.00°, 107.99° and 90.00°. The distinct sites, in fractional coordinates, are Rb at (0.000, 0.000, 0.000), Rb at (0.000, 0.332, 0.000), Sr at (0.000, 0.167, 0.500), U at (0.000, 0.500, 0.500), O at (0.205, 0.355, 0.682) and O at (0.228, 0.500, 0.317).

The energy is -6.419 eV per atom. The total magnetic moment is 2.00 μB per cell. Its formation energy without anion corrections is -2.48 eV/atom.

Record 2
A plane-wave DFT calculation with GGA-PBE was carried out for an optimized crystal structure of RbSr2UO6.

The structure belongs to space group P2_1/c (No. 14); the cell edges are 6.163, 6.491 and 11.081 Å and the angles 90.00°, 123.73° and 90.00°. The distinct sites, in fractional coordinates, are Rb at (0.000, 0.000, 0.000), Sr at (0.216, 0.002, 0.717), U at (0.500, 0.000, 0.500), O at (0.202, 0.691, 0.847), O at (0.207, 0.147, 0.499) and O at (0.485, 0.184, 0.342).

The energy is -7.225 eV per atom. The total magnetic moment is 1.86 μB per cell. Its formation energy without anion corrections is -2.69 eV/atom.